# FeNi4H3 (GGA-PBE, relaxed)
data_FeNi4H3
_cell_length_a 8.905
_cell_length_b 4.489
_cell_length_c 6.634
_cell_angle_alpha 90.00
_cell_angle_beta 111.82
_cell_angle_gamma 90.00
_space_group_name_H-M_alt 'C 1 c 1'
_space_group_IT_number 9
_space_group_name_Hall 'C -2yc'
loop_
_atom_site_label
_atom_site_type_symbol
_atom_site_fract_x
_atom_site_fract_y
_atom_site_fract_z
_atom_site_occupancy
Fe1 Fe 0.000 0.165 0.000 1
Ni1 Ni 0.094 0.334 0.700 1
Ni2 Ni 0.195 0.168 0.398 1
Ni3 Ni 0.298 0.335 0.103 1
Ni4 Ni 0.403 0.170 0.802 1
H1 H 0.199 0.017 0.664 1
H2 H 0.287 0.494 0.843 1
H3 H 0.403 0.020 0.055 1
# Calculated total energy   -0.3852 Ry/atom